A plane-wave DFT calculation with GGA-PBE was carried out for an optimized crystal structure of RbAsIrSe2.

Cell: 5.340 5.340 4.642 Å, 90.00 90.00 90.00°
Space group P4/mmm (No. 123)
Unique sites:
Rb1 0.000 0.000 0.000
As1 0.500 0.500 0.000
Ir1 0.500 0.500 0.500
Se1 0.000 0.500 0.500

Calculated values
Relative energy among the computed polymorphs (eV per formula unit): 0.00



A plane-wave DFT calculation with GGA-PBE was carried out for an optimized crystal structure of PrHfCo2H8.

Cell: 4.4961 4.4961 18.2052 Å, 90.00 90.00 120.00°
Space group R-3 (No. 148, hexagonal axes)
Unique sites:
Pr1 0.0000 0.0000 0.0000
Hf1 0.0000 0.0000 0.5000
Co1 0.0000 0.0000 0.2273
H1 0.0000 0.0000 0.3118
H2 0.0180 0.2946 0.8940

Calculated values
Raw total energy (eV/atom): -4.84



A plane-wave DFT calculation with GGA-PBE was carried out for an optimized crystal structure of MnPCS.

Cell: 2.9358 2.9358 7.0238 Å, 90.00 90.00 120.00°
Space group P3m1 (No. 156)
Unique sites:
Mn1 0.0000 0.0000 0.0000
P1 0.0000 0.0000 0.3253
C1 0.3333 0.6667 0.4117
S1 0.6667 0.3333 0.8101

Calculated values
Relative energy among the computed polymorphs (eV per formula unit): 0.27



A plane-wave DFT calculation with GGA-PBE was carried out for an optimized crystal structure of Be2TlCu2.

Cell: 6.845 6.845 2.839 Å, 90.00 90.00 90.00°
Space group P4/mbm (No. 127)
Unique sites:
Be1 0.121 0.379 0.000
Tl1 0.000 0.000 0.000
Cu1 0.156 0.656 0.500

Calculated values
Relative energy among the computed polymorphs (eV per formula unit): 0.10
E_form (meV per atom): 316.2



A plane-wave DFT calculation with GGA-PBE was carried out for an optimized crystal structure of TmNpTaO6.

Cell: 5.4973 5.4973 9.4990 Å, 90.00 90.00 120.00°
Space group P-31c (No. 163)
Unique sites:
Tm1 0.3333 0.6667 0.2500
Np1 0.0000 0.0000 0.0000
Ta1 0.3333 0.6667 0.7500
O1 0.0306 0.3572 0.6338

Calculated values
Raw total energy (eV/atom): -9.64



A plane-wave DFT calculation with GGA-PBE was carried out for an optimized crystal structure of MgZrAu.

Cell: 3.069 4.315 8.983 Å, 90.00 90.00 90.00°
Space group Imm2 (No. 44)
Unique sites:
Mg1 0.000 0.000 0.000
Zr1 0.000 0.000 0.675
Au1 0.000 0.000 0.343

Calculated values
E_form (meV per atom): -232.4